(1)
First-principles (PBE) data for crystalline AsP2Au at its relaxed geometry, as listed in the Alexandria database.

It has space group P2/m (No. 10), with a = 2.6980 Å, b = 4.8023 Å, c = 5.5890 Å, α = 90.00°, β = 90.58° and γ = 90.00°. The distinct sites, in fractional coordinates, are As at (0.0000, 0.0000, 0.0000), P at (0.0018, 0.5000, 0.6986) and Au at (0.5000, 0.0000, 0.5000).

The calculation puts the density of states at the Fermi level at 2.0 states/eV/f.u. The density is 7.655 Mg/m³. Its total magnetization is 0.000 μB/atom. The value obtained for the energy of formation from the pure elements is 0.46 eV/atom.

---

(2)
First-principles (PBE) data for crystalline PmNiPb at its relaxed geometry, as listed in the Alexandria database.

It has space group I4/mmm (No. 139), with a = 4.5275 Å, b = 4.5275 Å, c = 14.1296 Å, α = 90.00°, β = 90.00° and γ = 90.00°. The distinct sites, in fractional coordinates, are Pm at (0.0000, 0.0000, 0.1413), Ni at (0.0000, 0.5000, 0.0000) and Pb at (0.0000, 0.0000, 0.3831).

Its energy relative to the lowest polymorph listed for this composition is 0.080 eV/atom. The calculation puts the density of states at the Fermi level at 1.9 states/eV/f.u. The density is 9.423 Mg/m³. Its total magnetization is 0.000 μB/atom. The value obtained for the energy of formation from the pure elements is -0.31 eV/atom.